This record from the Alexandria database describes crystalline Sr3TaMn2O8 at its relaxed geometry. The functional is GGA+U.

Results
* symmetry: P-3m1
* spin magnetization: 9.0 μB/f.u.
* N(E_F): 0.562 states/eV/atom
* energy: -104.67 eV per cell

Cell: 5.7418 5.7418 7.3784 Å, 90.00 90.00 120.00°
Closest atoms and distances in Å follow each position.
Element x y z (fractional)
1 Sr 0.0000 0.0000 0.0000  6 O 2.98
2 Sr 0.3333 0.6667 0.6311  1 O 2.29
3 Sr 0.6667 0.3333 0.3689  1 O 2.29
4 Ta 0.0000 0.0000 0.5000  6 O 1.99
5 Mn 0.3333 0.6667 0.1931  4 O 1.86-2.02
6 Mn 0.6667 0.3333 0.8069  4 O 1.86-2.02
7 O 0.1614 0.3229 0.3396  1 Ta 1.99, 1 Mn 2.02
8 O 0.1614 0.8386 0.3396  1 Ta 1.99, 1 Mn 2.02
9 O 0.3229 0.1614 0.6604  1 Ta 1.99, 1 Mn 2.02
10 O 0.3333 0.6667 0.9411  1 Mn 1.86
11 O 0.6667 0.3333 0.0589  1 Mn 1.86
12 O 0.6772 0.8386 0.3396  1 Ta 1.99, 1 Mn 2.02
13 O 0.8386 0.1614 0.6604  1 Ta 1.99, 1 Mn 2.02
14 O 0.8386 0.6772 0.6604  1 Ta 1.99, 1 Mn 2.02